# TlFeAgTe3

A geometry-optimized TlFeAgTe3 structure (GGA-PBE, OQMD).

abc: 7.6438 7.6438 11.1888
angles: 90.00 90.00 150.30
With the nearest neighbours (Å) after each atom.
Positions (direct):
1 Tl 0.2424 0.7576 0.7500  2 Ag 3.09, 4 Te 3.39-3.45
2 Tl 0.7576 0.2424 0.2500  2 Ag 3.09, 4 Te 3.39-3.45
3 Fe 0.5000 0.5000 0.0000  6 Te 2.62-2.89
4 Fe 0.5000 0.5000 0.5000  6 Te 2.62-2.89
5 Ag 0.0958 0.9042 0.2500  4 Te 2.76-2.91
6 Ag 0.9042 0.0958 0.7500  4 Te 2.76-2.91
7 Te 0.1181 0.8819 0.0050  2 Fe 2.62, 1 Ag 2.76
8 Te 0.1181 0.8819 0.4950  2 Fe 2.62, 1 Ag 2.76
9 Te 0.4502 0.5498 0.2500  2 Fe 2.89, 2 Ag 2.91
10 Te 0.5498 0.4502 0.7500  2 Fe 2.89, 2 Ag 2.91
11 Te 0.8819 0.1181 0.5050  2 Fe 2.62, 1 Ag 2.76
12 Te 0.8819 0.1181 0.9950  2 Fe 2.62, 1 Ag 2.76

Output
Space-group type = No. 63


# TlZnFeAg

A geometry-optimized TlZnFeAg structure (GGA-PBE, OQMD).

abc: 4.6280 4.6280 4.6280
angles: 60.00 60.00 60.00
With the nearest neighbours (Å) after each atom.
Positions (direct):
1 Tl 0.0000 0.0000 0.0000  4 Ag 2.83, 4 Fe 2.83
2 Zn 0.5000 0.5000 0.5000  4 Fe 2.83, 4 Ag 2.83
3 Fe 0.2500 0.2500 0.2500  4 Tl 2.83, 4 Zn 2.83
4 Ag 0.7500 0.7500 0.7500  4 Zn 2.83, 4 Tl 2.83

Output
Excess energy over the best structure of this formula in the dataset = 0 meV per atom
Space-group type = No. 216


Number 1: calculated total energy -45.88 eV for the cell shown, total magnetization 4.158 Bohr magnetons per cell. Number 2: calculated total energy -13.18 eV for the cell shown, total magnetization 2.530 Bohr magnetons per cell.